{"formula": "TaCo2TeAu", "functional": "PBE", "state": "relaxed", "lattice": [[4.602, 0.000, 0.000], [0.000, 4.602, 0.000], [0.000, 0.000, 5.217]], "species": ["Ta", "Co", "Co", "Te", "Au"], "fractional_positions": [[0.000, 0.000, 0.000], [0.000, 0.500, 0.500], [0.500, 0.000, 0.500], [0.500, 0.500, 0.000], [0.500, 0.500, 0.500]], "magnetic_moment_mub_per_cell": 3.8, "total_energy_ev_per_atom": -4.82}